[1]
Material: CaScCu2Si
Method: DFT, PBE-GGA
State: relaxed

Cell lengths 4.7211, 5.2247, 4.7211 Å; angles 90.00, 90.00, 90.00 degrees
Fractional positions:
Ca  0.0000  0.0000  0.0000
Sc  0.5000  0.5000  0.5000
Cu  0.5000  0.0000  0.0000
Cu  0.0000  0.0000  0.5000
Si  0.0000  0.5000  0.0000

Output
Symmetry: P4/mmm
Total energy, eV per atom: -3.437
Energy relative to the elements, uncorrected, meV/atom: 952.7

=====

[2]
Material: CaScCuSi
Method: DFT, PBE-GGA
State: relaxed

Cell lengths 4.8049, 4.8049, 4.8049 Å; angles 60.00, 60.00, 60.00 degrees
Fractional positions:
Si  0.7500  0.7500  0.7500
Ca  0.0000  0.0000  0.0000
Sc  0.5000  0.5000  0.5000
Cu  0.2500  0.2500  0.2500

Output
Symmetry: F-43m
Total energy, eV per atom: -4.779
Energy relative to the elements, uncorrected, meV/atom: -316.1